(1)
# VReMoOs PBE optimized geometry
data_VReMoOs
_cell_length_a 6.173
_cell_length_b 6.173
_cell_length_c 6.173
_cell_angle_alpha 90.00
_cell_angle_beta 90.00
_cell_angle_gamma 90.00
_space_group_name_H-M_alt 'F -4 3 m'
_space_group_IT_number 216
_space_group_name_Hall 'F -4 2 3'
loop_
_atom_site_label
_atom_site_fract_x
_atom_site_fract_y
_atom_site_fract_z
V1 0.000 0.000 0.000
Re1 0.250 0.250 0.250
Mo1 0.000 0.000 0.500
Os1 0.250 0.250 0.750
# Calculated total energy in eV/atom: -10.9342
# N(E_F) in states/eV/atom: 1.15

(2)
# InSbTe2Br PBE optimized geometry
data_InSbTe2Br
_cell_length_a 5.622
_cell_length_b 5.622
_cell_length_c 5.820
_cell_angle_alpha 90.00
_cell_angle_beta 90.00
_cell_angle_gamma 90.00
_space_group_name_H-M_alt 'P 4/m m m'
_space_group_IT_number 123
_space_group_name_Hall '-P 4 2'
loop_
_atom_site_label
_atom_site_fract_x
_atom_site_fract_y
_atom_site_fract_z
In1 0.000 0.000 0.000
Sb1 0.000 0.000 0.500
Te1 0.000 0.500 0.000
Br1 0.500 0.500 0.500
# Formation energy without anion corrections in eV per formula unit: 2.6
# Polymorph energy (0 for the lowest one) in meV per atom: 0
# N(E_F) in states/eV/atom: 1.08

Number 1: mass density 14.78 g/cm³. Number 2: mass density 5.16 g/cm³.